Entry w
# Ac2Nd2In

Ac2Nd2In after structural relaxation (PBE-GGA, Alexandria via LeMat-Bulk).

Calculated values
The value obtained for the density of states at the Fermi level is 6.994 states/eV/f.u.

```
Ac2Nd2In
1.0
6.6309 -2.0381 0.0000
6.6309 2.0381 0.0000
-6.2863 0.0000 6.8442
Ac Nd In
2 2 1
direct
0.0835 0.0835 0.3781
0.9165 0.9165 0.6219
0.2557 0.2557 0.1659
0.7443 0.7443 0.8341
0.5000 0.5000 0.0000
```

Entry x
# Ac2Nd2In

Ac2Nd2In after structural relaxation (PBE-GGA, Alexandria via LeMat-Bulk).

Calculated values
The value obtained for the density of states at the Fermi level is 5.201 states/eV/f.u.

```
Ac2Nd2In
1.0
4.4305 -5.1804 0.0000
4.4305 5.1804 0.0000
-3.8091 0.0000 8.1137
Ac Nd In
4 4 2
direct
0.1144 0.7382 0.7767
0.2618 0.8856 0.2233
0.7382 0.1144 0.7767
0.8856 0.2618 0.2233
0.2215 0.2215 0.6206
0.3537 0.3537 0.0873
0.6463 0.6463 0.9127
0.7785 0.7785 0.3794
0.3533 0.6467 0.5000
0.6467 0.3533 0.5000
```

Energy ordering: entry w at the bottom, the next structure 76 meV/atom above.

Entry w
# AcNd2In

AcNd2In after structural relaxation (PBE-GGA, Alexandria via LeMat-Bulk).

Calculated values
The value obtained for the density of states at the Fermi level is 6.182 states/eV/f.u.

```
AcNd2In
1.0
1.8541 1.0704 12.3007
-1.8541 1.0704 12.3007
0.0000 -2.1409 12.3007
Ac Nd In
1 2 1
direct
0.0000 0.0000 0.0000
0.0992 0.0992 0.0992
0.9008 0.9008 0.9008
0.5000 0.5000 0.5000
```

Entry x
# AcNd2In

AcNd2In after structural relaxation (PBE-GGA, Alexandria via LeMat-Bulk).

Calculated values
The value obtained for the density of states at the Fermi level is 7.737 states/eV/f.u.

```
AcNd2In
1.0
0.0000 4.0472 4.0472
4.0472 0.0000 4.0472
4.0472 4.0472 0.0000
Ac Nd In
1 2 1
direct
0.0000 0.0000 0.0000
0.2500 0.2500 0.2500
0.7500 0.7500 0.7500
0.5000 0.5000 0.5000
```

Energy ordering: entry x at the bottom, the next structure 126 meV/atom above.